This record from the Alexandria database describes Ni2HPd8 after structural relaxation. The functional is PBE.

As for the total energy: -5.106 eV/atom. The value obtained for the density of states at the Fermi level is 18.03 states/eV per cell. The total magnetization is 3.9 μB/cell.

It has space group P1 (No. 1), with a = 4.790 Å, b = 5.550 Å, c = 6.193 Å, α = 103.08°, β = 97.08° and γ = 106.31°. The distinct sites, in fractional coordinates, are Ni at (0.000, 0.000, 0.000), Ni at (0.380, 0.286, 0.801), H at (0.836, 0.804, 0.445), Pd at (0.000, 0.486, 0.999), Pd at (0.188, 0.389, 0.401), Pd at (0.206, 0.901, 0.394), Pd at (0.377, 0.799, 0.799), Pd at (0.591, 0.193, 0.187), Pd at (0.593, 0.689, 0.177), Pd at (0.775, 0.583, 0.616) and Pd at (0.794, 0.099, 0.616).


This record from the Alexandria database describes LaY2Er12 after structural relaxation. The functional is PBE.

As for the total energy: -4.476 eV/atom. The value obtained for the density of states at the Fermi level is 55.39 states/eV per cell. The total magnetization is 0.0 μB/cell.

It has space group P4/nbm (No. 125, origin choice 2), with a = 6.388 Å, b = 6.388 Å, c = 24.803 Å, α = 90.00°, β = 90.00° and γ = 90.00°. The distinct sites, in fractional coordinates, are La at (0.250, 0.750, 0.000), Y at (0.250, 0.750, 0.274), Er at (0.000, 0.000, 0.117), Er at (0.081, 0.581, 0.440), Er at (0.250, 0.250, 0.217) and Er at (0.250, 0.250, 0.341).


This record from the Alexandria database describes K2VCr after structural relaxation. The functional is PBE.

The value obtained for the energy above the most stable polymorph in this dataset is 203 meV/atom. The value obtained for the density of states at the Fermi level is 29.50 states/eV per cell. The total magnetization is 38.6 μB/cell.

It has space group Fm-3m (No. 225), with a = 8.384 Å, b = 8.384 Å, c = 8.384 Å, α = 90.00°, β = 90.00° and γ = 90.00°. The distinct sites, in fractional coordinates, are K at (0.250, 0.250, 0.250), V at (0.000, 0.000, 0.000) and Cr at (0.000, 0.000, 0.500).


This record from the Alexandria database describes Li4GaAg5 after structural relaxation. The functional is PBE.

The value obtained for the energy above the most stable polymorph in this dataset is 98 meV/atom. The value obtained for the density of states at the Fermi level is 4.93 states/eV per cell. The total magnetization is 0.0 μB/cell.

It has space group I4 (No. 79), with a = 8.105 Å, b = 8.105 Å, c = 5.144 Å, α = 90.00°, β = 90.00° and γ = 90.00°. The distinct sites, in fractional coordinates, are Li at (0.135, 0.240, 0.000), Ga at (0.000, 0.000, 0.273), Ag at (0.000, 0.000, 0.751) and Ag at (0.045, 0.332, 0.494).